The following is a DFT calculation (PBE+U) of a geometry-optimized K2FeBO structure.

```
5
Lattice="5.990 0.000 0.000 0.000 5.990 0.000 0.000 0.000 3.967" Properties=species:S:1:pos:R:3 pbc="T T T"
K 0.000 2.995 0.000
K 2.995 0.000 0.000
Fe 0.000 0.000 0.000
B 0.000 0.000 1.983
O 2.995 2.995 1.983
```

Properties
* E_tot: -2.995 eV per atom
* space-group type: No. 123